A relaxed structure of IrSeS3. Source: Alexandria via LeMat-Bulk, functional PBEsol.

Cell: 4.571 4.571 4.571 Å, 90.00 90.00 90.00°
Positions (direct):
1 Ir 0.000 0.000 0.000
2 Se 0.500 0.500 0.500
3 S 0.000 0.000 0.500
4 S 0.000 0.500 0.000
5 S 0.500 0.000 0.000

## Properties
VASP energy in eV/atom: -4.771
Theoretical density in g/cm³: 6.39
Total magnetization in μB/cell: 0.002